The following is a DFT calculation (PBE) of a relaxed structure of K2NdSb2O6.

Values from the calculation:
- SG = No. 12

abc: 5.9953 5.9953 7.4666
angles: 111.71 111.71 64.57
With the nearest neighbours (Å) after each atom.
Element x y z (fractional)
K1 0.2001 0.2001 0.1455  3 O 2.73-2.80
K2 0.7999 0.7999 0.8545  3 O 2.73-2.80
Nd1 0.0000 0.0000 0.5000  6 O 2.39-2.40
Sb1 0.4325 0.4325 0.7658  3 O 1.93-1.95
Sb2 0.5675 0.5675 0.2342  3 O 1.93-1.95
O1 0.2131 0.6935 0.2470  1 Sb 1.95
O2 0.2453 0.2453 0.5336  1 Sb 1.93
O3 0.3065 0.7869 0.7530  1 Sb 1.95
O4 0.6935 0.2131 0.2470  1 Sb 1.95
O5 0.7547 0.7547 0.4664  1 Sb 1.93
O6 0.7869 0.3065 0.7530  1 Sb 1.95

=====

The following is a DFT calculation (PBE) of a relaxed structure of K3Nd3SbO8.

Values from the calculation:
- SG = No. 166

abc: 7.5740 7.5740 7.5740
angles: 56.21 56.21 56.21
With the nearest neighbours (Å) after each atom.
Element x y z (fractional)
K1 0.0000 0.5000 0.5000  6 O 2.85-2.86
K2 0.5000 0.0000 0.5000  6 O 2.85-2.86
K3 0.5000 0.5000 0.0000  6 O 2.85-2.86
Nd1 0.0000 0.0000 0.5000  6 O 2.38-2.44
Nd2 0.0000 0.5000 0.0000  6 O 2.38-2.44
Nd3 0.5000 0.0000 0.0000  6 O 2.38-2.44
Sb1 0.5000 0.5000 0.5000  6 O 2.17
O1 0.2294 0.2294 0.2294  3 Nd 2.38
O2 0.2577 0.7094 0.7094  1 Sb 2.17
O3 0.2906 0.2906 0.7423  1 Sb 2.17
O4 0.2906 0.7423 0.2906  1 Sb 2.17
O5 0.7094 0.2577 0.7094  1 Sb 2.17
O6 0.7094 0.7094 0.2577  1 Sb 2.17
O7 0.7423 0.2906 0.2906  1 Sb 2.17
O8 0.7706 0.7706 0.7706  3 Nd 2.38

=====

The following is a DFT calculation (PBE) of a relaxed structure of KNd2SbO6.

Values from the calculation:
- SG = No. 146

abc: 6.3213 6.3213 6.3213
angles: 56.53 56.53 56.53
With the nearest neighbours (Å) after each atom.
Element x y z (fractional)
K1 0.0000 0.0000 0.0000  3 O 2.57
Nd1 0.2633 0.2633 0.2633  6 O 2.38-2.46
Nd2 0.7756 0.7756 0.7756  6 O 2.29-2.54
Sb1 0.4682 0.4682 0.4682  6 O 2.03-2.05
O1 0.1057 0.6177 0.4282  1 Sb 2.05, 1 Nd 2.29
O2 0.2365 0.5380 0.8230  1 Sb 2.03
O3 0.4282 0.1057 0.6177  1 Sb 2.05, 1 Nd 2.29
O4 0.5380 0.8230 0.2365  1 Sb 2.03
O5 0.6177 0.4282 0.1057  1 Sb 2.05, 1 Nd 2.29
O6 0.8230 0.2365 0.5380  1 Sb 2.03

=====

The following is a DFT calculation (PBE) of a relaxed structure of K2Nd2SbO6.

Values from the calculation:
- SG = No. 12

abc: 6.1192 6.1192 6.6839
angles: 97.77 97.77 119.64
With the nearest neighbours (Å) after each atom.
Element x y z (fractional)
K1 0.1587 0.8413 0.0000  6 O 2.78-3.11
K2 0.8413 0.1587 0.0000  6 O 2.78-3.11
Nd1 0.3351 0.6649 0.5000  6 O 2.38-2.43
Nd2 0.6649 0.3351 0.5000  6 O 2.38-2.43
Sb1 0.0000 0.0000 0.5000  6 O 2.16-2.22
O1 0.0451 0.3606 0.6749  1 Sb 2.22, 2 Nd 2.38-2.42
O2 0.2454 0.2454 0.3220  1 Sb 2.16
O3 0.3606 0.0451 0.6749  1 Sb 2.22, 2 Nd 2.38-2.42
O4 0.6394 0.9549 0.3251  1 Sb 2.22, 2 Nd 2.38-2.42
O5 0.7546 0.7546 0.6780  1 Sb 2.16
O6 0.9549 0.6394 0.3251  1 Sb 2.22, 2 Nd 2.38-2.42

=====

The following is a DFT calculation (PBE) of a relaxed structure of KTbNdSbO6.

Values from the calculation:
- SG = No. 216

abc: 5.9190 5.9190 5.9190
angles: 60.00 60.00 60.00
With the nearest neighbours (Å) after each atom.
Element x y z (fractional)
K1 0.0000 0.0000 0.0000  12 O 2.96
Tb1 0.7500 0.7500 0.7500  6 O 2.20
Nd1 0.5000 0.5000 0.5000  12 O 2.96
Sb1 0.2500 0.2500 0.2500  6 O 1.98
O1 0.0131 0.0131 0.4869  1 Sb 1.98, 1 Tb 2.20
O2 0.0131 0.4869 0.0131  1 Sb 1.98, 1 Tb 2.20
O3 0.0131 0.4869 0.4869  1 Sb 1.98, 1 Tb 2.20
O4 0.4869 0.0131 0.0131  1 Sb 1.98, 1 Tb 2.20
O5 0.4869 0.0131 0.4869  1 Sb 1.98, 1 Tb 2.20
O6 0.4869 0.4869 0.0131  1 Sb 1.98, 1 Tb 2.20

=====

The following is a DFT calculation (PBE) of a relaxed structure of K2NdScO4.

Values from the calculation:
- SG = No. 10

abc: 5.9741 3.4627 6.5490
angles: 90.00 107.67 90.00
With the nearest neighbours (Å) after each atom.
Element x y z (fractional)
K1 0.0000 0.0000 0.0000  6 O 2.85-2.90
K2 0.5000 0.5000 0.0000  6 O 2.73-2.75
Nd1 0.0000 0.5000 0.5000  6 O 2.38-2.39
Sc1 0.5000 0.0000 0.5000  6 O 2.18-2.26
O1 0.2535 0.0000 0.6856  1 Sc 2.18, 2 Nd 2.38
O2 0.2903 0.5000 0.3175  2 Sc 2.26, 1 Nd 2.39
O3 0.7097 0.5000 0.6825  2 Sc 2.26, 1 Nd 2.39
O4 0.7465 0.0000 0.3144  1 Sc 2.18, 2 Nd 2.38

=====

The following is a DFT calculation (PBE) of a relaxed structure of KNdSe2O8.

Values from the calculation:
- SG = No. 14
- ΔE to the lowest computed polymorph (eV/atom) = 0.000

abc: 9.0120 7.4578 11.1866
angles: 90.00 91.57 90.00
With the nearest neighbours (Å) after each atom.
Element x y z (fractional)
K1 0.0639 0.1454 0.3430  6 O 2.81-3.02
K2 0.0639 0.3546 0.8430  6 O 2.81-3.02
K3 0.9361 0.6454 0.1570  6 O 2.81-3.02
K4 0.9361 0.8546 0.6570  6 O 2.81-3.02
Nd1 0.4442 0.6652 0.6517  9 O 2.45-2.71
Nd2 0.4442 0.8348 0.1517  9 O 2.45-2.71
Nd3 0.5558 0.1652 0.8483  9 O 2.45-2.71
Nd4 0.5558 0.3348 0.3483  9 O 2.45-2.71
Se1 0.2232 0.6579 0.4105  4 O 1.64-1.70
Se2 0.2232 0.8421 0.9105  4 O 1.64-1.70
Se3 0.3142 0.1640 0.6077  4 O 1.64-1.71
Se4 0.3142 0.3360 0.1077  4 O 1.64-1.71
Se5 0.6858 0.6640 0.8923  4 O 1.64-1.71
Se6 0.6858 0.8360 0.3923  4 O 1.64-1.71
Se7 0.7768 0.1579 0.0895  4 O 1.64-1.70
Se8 0.7768 0.3421 0.5895  4 O 1.64-1.70
O1 0.0918 0.5214 0.3630  1 Se 1.64
O2 0.0918 0.9786 0.8630  1 Se 1.64
O3 0.1325 0.1488 0.6014  1 Se 1.64
O4 0.1325 0.3512 0.1014  1 Se 1.64
O5 0.1990 0.7468 0.0450  1 Se 1.68
O6 0.1990 0.7532 0.5450  1 Se 1.68
O7 0.2561 0.6813 0.8091  1 Se 1.68
O8 0.2561 0.8187 0.3091  1 Se 1.68
O9 0.3674 0.1594 0.1957  1 Se 1.71
O10 0.3674 0.3406 0.6957  1 Se 1.71
O11 0.3818 0.1672 0.4707  1 Se 1.66
O12 0.3818 0.3328 0.9707  1 Se 1.66
O13 0.3837 0.5471 0.4458  1 Se 1.70
O14 0.3837 0.9529 0.9458  1 Se 1.70
O15 0.4008 0.5015 0.1880  1 Se 1.70
O16 0.4008 0.9985 0.6880  1 Se 1.70
O17 0.5992 0.0015 0.3120  1 Se 1.70
O18 0.5992 0.4985 0.8120  1 Se 1.70
O19 0.6163 0.0471 0.0542  1 Se 1.70
O20 0.6163 0.4529 0.5542  1 Se 1.70
O21 0.6182 0.6672 0.0293  1 Se 1.66
O22 0.6182 0.8328 0.5293  1 Se 1.66
O23 0.6326 0.6594 0.3043  1 Se 1.71
O24 0.6326 0.8406 0.8043  1 Se 1.71
O25 0.7439 0.1813 0.6909  1 Se 1.68
O26 0.7439 0.3187 0.1909  1 Se 1.68
O27 0.8010 0.2468 0.4550  1 Se 1.68
O28 0.8010 0.2532 0.9550  1 Se 1.68
O29 0.8675 0.6488 0.8986  1 Se 1.64
O30 0.8675 0.8512 0.3986  1 Se 1.64
O31 0.9082 0.0214 0.1370  1 Se 1.64
O32 0.9082 0.4786 0.6370  1 Se 1.64

=====

The following is a DFT calculation (PBE) of a relaxed structure of K2NdSe2O6.

Values from the calculation:
- SG = No. 12

abc: 5.6755 5.6755 7.3827
angles: 109.05 109.05 67.30
With the nearest neighbours (Å) after each atom.
Element x y z (fractional)
K1 0.1983 0.1983 0.1404  7 O 2.78-3.12
K2 0.8017 0.8017 0.8596  7 O 2.78-3.12
Nd1 0.0000 0.0000 0.5000  6 O 2.41
Se1 0.4253 0.4253 0.7642  3 O 1.73-1.83
Se2 0.5747 0.5747 0.2358  3 O 1.73-1.83
O1 0.2280 0.7169 0.2456  1 Se 1.83
O2 0.2665 0.2665 0.5429  1 Se 1.73
O3 0.2831 0.7720 0.7544  1 Se 1.83
O4 0.7169 0.2280 0.2456  1 Se 1.83
O5 0.7335 0.7335 0.4571  1 Se 1.73
O6 0.7720 0.2831 0.7544  1 Se 1.83

=====

The following is a DFT calculation (PBE) of a relaxed structure of KNdSe2O6.

Values from the calculation:
- SG = No. 148

abc: 7.1675 7.1675 7.1675
angles: 47.35 47.35 47.35
With the nearest neighbours (Å) after each atom.
Element x y z (fractional)
K1 0.0000 0.0000 0.0000  6 O 2.92
Nd1 0.5000 0.5000 0.5000  6 O 2.39
Se1 0.2763 0.2763 0.2763  3 O 1.73
Se2 0.7237 0.7237 0.7237  3 O 1.73
O1 0.0554 0.5124 0.7131  1 Se 1.73
O2 0.2869 0.9446 0.4876  1 Se 1.73
O3 0.4876 0.2869 0.9446  1 Se 1.73
O4 0.5124 0.7131 0.0554  1 Se 1.73
O5 0.7131 0.0554 0.5124  1 Se 1.73
O6 0.9446 0.4876 0.2869  1 Se 1.73

=====

The following is a DFT calculation (PBE) of a relaxed structure of KNdSe2O8.

Values from the calculation:
- SG = No. 147
- ΔE to the lowest computed polymorph (eV/atom) = 0.032

abc: 5.7444 5.7444 8.1266
angles: 90.00 90.00 120.00
With the nearest neighbours (Å) after each atom.
Element x y z (fractional)
K1 0.0000 0.0000 0.0000  12 O 3.13-3.33
Nd1 0.0000 0.0000 0.5000  6 O 2.34
Se1 0.3333 0.6667 0.7589  4 O 1.64-1.68
Se2 0.6667 0.3333 0.2411  4 O 1.64-1.68
O1 0.1274 0.3568 0.6849  1 Se 1.68
O2 0.2293 0.8726 0.6849  1 Se 1.68
O3 0.3333 0.6667 0.9606  1 Se 1.64
O4 0.3568 0.2293 0.3151  1 Se 1.68
O5 0.6432 0.7707 0.6849  1 Se 1.68
O6 0.6667 0.3333 0.0394  1 Se 1.64
O7 0.7707 0.1274 0.3151  1 Se 1.68
O8 0.8726 0.6432 0.3151  1 Se 1.68

=====

The following is a DFT calculation (PBE) of a relaxed structure of K3NdSi2O7.

Values from the calculation:
- SG = No. 193

abc: 10.1602 10.1602 14.7400
angles: 90.00 90.00 120.00
With the nearest neighbours (Å) after each atom.
Element x y z (fractional)
K1 0.0000 0.0000 0.0000  6 O 2.80
K2 0.0000 0.0000 0.5000  6 O 2.80
K3 0.0000 0.3306 0.0894  8 O 2.84-3.10
K4 0.0000 0.3306 0.4106  8 O 2.84-3.10
K5 0.0000 0.6694 0.5894  8 O 2.84-3.10
K6 0.0000 0.6694 0.9106  8 O 2.84-3.10
K7 0.3306 0.0000 0.0894  8 O 2.84-3.10
K8 0.3306 0.0000 0.4106  8 O 2.84-3.10
K9 0.3306 0.3306 0.5894  8 O 2.83-3.10
K10 0.3306 0.3306 0.9106  8 O 2.83-3.10
K11 0.3333 0.6667 0.2500  9 O 2.98-3.10
K12 0.3333 0.6667 0.7500  9 O 2.98-3.10
K13 0.6667 0.3333 0.2500  9 O 2.98-3.10
K14 0.6667 0.3333 0.7500  9 O 2.98-3.10
K15 0.6694 0.0000 0.5894  8 O 2.84-3.10
K16 0.6694 0.0000 0.9106  8 O 2.84-3.10
K17 0.6694 0.6694 0.0894  8 O 2.83-3.10
K18 0.6694 0.6694 0.4106  8 O 2.83-3.10
Nd1 0.0000 0.0000 0.2500  6 O 2.39
Nd2 0.0000 0.0000 0.7500  6 O 2.39
Nd3 0.3333 0.6667 0.0000  6 O 2.35
Nd4 0.3333 0.6667 0.5000  6 O 2.35
Nd5 0.6667 0.3333 0.0000  6 O 2.35
Nd6 0.6667 0.3333 0.5000  6 O 2.35
Si1 0.0000 0.3401 0.6437  4 O 1.64-1.68
Si2 0.0000 0.3401 0.8563  4 O 1.64-1.68
Si3 0.0000 0.6599 0.1437  4 O 1.64-1.68
Si4 0.0000 0.6599 0.3563  4 O 1.64-1.68
Si5 0.3401 0.0000 0.6437  4 O 1.64-1.68
Si6 0.3401 0.0000 0.8563  4 O 1.64-1.68
Si7 0.3401 0.3401 0.1437  4 O 1.64-1.68
Si8 0.3401 0.3401 0.3563  4 O 1.64-1.68
Si9 0.6599 0.0000 0.1437  4 O 1.64-1.68
Si10 0.6599 0.0000 0.3563  4 O 1.64-1.68
Si11 0.6599 0.6599 0.6437  4 O 1.64-1.68
Si12 0.6599 0.6599 0.8563  4 O 1.64-1.68
O1 0.0000 0.1788 0.6449  1 Si 1.64
O2 0.0000 0.1788 0.8551  1 Si 1.64
O3 0.0000 0.4012 0.7500  2 Si 1.68
O4 0.0000 0.5988 0.2500  2 Si 1.68
O5 0.0000 0.8212 0.1449  1 Si 1.64
O6 0.0000 0.8212 0.3551  1 Si 1.64
O7 0.1528 0.4743 0.5943  1 Si 1.64
O8 0.1528 0.4743 0.9057  1 Si 1.64
O9 0.1528 0.6785 0.0943  1 Si 1.64
O10 0.1528 0.6785 0.4057  1 Si 1.64
O11 0.1788 0.0000 0.6449  1 Si 1.64
O12 0.1788 0.0000 0.8551  1 Si 1.64
O13 0.1788 0.1788 0.1449  1 Si 1.64
O14 0.1788 0.1788 0.3551  1 Si 1.64
O15 0.3215 0.4743 0.0943  1 Si 1.64
O16 0.3215 0.4743 0.4057  1 Si 1.64
O17 0.3215 0.8472 0.5943  1 Si 1.64
O18 0.3215 0.8472 0.9057  1 Si 1.64
O19 0.4012 0.0000 0.7500  2 Si 1.68
O20 0.4012 0.4012 0.2500  2 Si 1.68
O21 0.4743 0.1528 0.5943  1 Si 1.64
O22 0.4743 0.1528 0.9057  1 Si 1.64
O23 0.4743 0.3215 0.0943  1 Si 1.64
O24 0.4743 0.3215 0.4057  1 Si 1.64
O25 0.5257 0.6785 0.5943  1 Si 1.64
O26 0.5257 0.6785 0.9057  1 Si 1.64
O27 0.5257 0.8472 0.0943  1 Si 1.64
O28 0.5257 0.8472 0.4057  1 Si 1.64
O29 0.5988 0.0000 0.2500  2 Si 1.68
O30 0.5988 0.5988 0.7500  2 Si 1.68
O31 0.6785 0.1528 0.0943  1 Si 1.64
O32 0.6785 0.1528 0.4057  1 Si 1.64
O33 0.6785 0.5257 0.5943  1 Si 1.64
O34 0.6785 0.5257 0.9057  1 Si 1.64
O35 0.8212 0.0000 0.1449  1 Si 1.64
O36 0.8212 0.0000 0.3551  1 Si 1.64
O37 0.8212 0.8212 0.6449  1 Si 1.64
O38 0.8212 0.8212 0.8551  1 Si 1.64
O39 0.8472 0.3215 0.5943  1 Si 1.64
O40 0.8472 0.3215 0.9057  1 Si 1.64
O41 0.8472 0.5257 0.0943  1 Si 1.64
O42 0.8472 0.5257 0.4057  1 Si 1.64

=====

The following is a DFT calculation (PBE) of a relaxed structure of KNd9Si6O26.

Values from the calculation:
- SG = No. 143

abc: 9.6631 9.6631 7.1597
angles: 90.00 90.00 120.00
With the nearest neighbours (Å) after each atom.
Element x y z (fractional)
K1 0.0000 0.0000 0.0000  6 O 2.64-2.71
Nd1 0.0000 0.0000 0.5001  6 O 2.43-2.46
Nd2 0.0928 0.4343 0.2516  6 O 2.29-2.53
Nd3 0.1001 0.6783 0.7550  6 O 2.31-2.55
Nd4 0.3217 0.4218 0.7550  6 O 2.31-2.55
Nd5 0.3415 0.9072 0.2516  6 O 2.29-2.53
Nd6 0.5657 0.6585 0.2516  6 O 2.29-2.53
Nd7 0.5782 0.8999 0.7550  6 O 2.31-2.55
Nd8 0.6667 0.3333 0.0024  6 O 2.43-2.49
Nd9 0.6667 0.3333 0.5026  9 O 2.45-2.72
Si1 0.3065 0.2693 0.2556  4 O 1.63-1.66
Si2 0.3651 0.0650 0.7459  4 O 1.62-1.66
Si3 0.6999 0.6349 0.7459  4 O 1.62-1.66
Si4 0.7307 0.0373 0.2556  4 O 1.63-1.66
Si5 0.9350 0.3001 0.7459  4 O 1.62-1.66
Si6 0.9627 0.6935 0.2556  4 O 1.63-1.66
O1 0.0231 0.1958 0.7285  1 Si 1.62
O2 0.0839 0.7471 0.0746  1 Si 1.65
O3 0.0853 0.7511 0.4363  1 Si 1.65
O4 0.1727 0.9769 0.7285  1 Si 1.62
O5 0.2187 0.0751 0.2745  1 Si 1.63
O6 0.2489 0.3342 0.4363  1 Si 1.65
O7 0.2529 0.3367 0.0746  1 Si 1.65
O8 0.3333 0.6667 0.2563  3 Nd 2.29
O9 0.3333 0.6667 0.7499  3 Nd 2.31
O10 0.4240 0.0085 0.9335  1 Si 1.65
O11 0.4429 0.0224 0.5641  1 Si 1.65
O12 0.4599 0.2627 0.7559  1 Si 1.66
O13 0.5031 0.3481 0.2498  1 Si 1.66
O14 0.5795 0.5571 0.5641  1 Si 1.65
O15 0.5845 0.5760 0.9335  1 Si 1.65
O16 0.6519 0.1550 0.2498  1 Si 1.66
O17 0.6633 0.9161 0.0746  1 Si 1.65
O18 0.6658 0.9147 0.4363  1 Si 1.65
O19 0.7373 0.1972 0.7559  1 Si 1.66
O20 0.8028 0.5401 0.7559  1 Si 1.66
O21 0.8042 0.8273 0.7285  1 Si 1.62
O22 0.8450 0.4969 0.2498  1 Si 1.66
O23 0.8564 0.7813 0.2745  1 Si 1.63
O24 0.9249 0.1436 0.2745  1 Si 1.63
O25 0.9776 0.4205 0.5641  1 Si 1.65
O26 0.9915 0.4155 0.9335  1 Si 1.65

=====

no.,DOS at the Fermi energy (states/eV/atom),uncorrected formation energy (meV/atom)
1,0.15,-1818.1
2,0.11,-2354.3
3,0.00,-2448.5
4,0.53,-2216.1
5,0.00,-2387.1
6,0.00,-2627.7
7,0.00,-1544.4
8,0.25,-1552.1
9,0.00,-1715.3
10,0.00,-1512.1
11,0.00,-2667.2
12,0.00,-3198.3